KScSn PBE optimized geometry; symmetry = No. 4; distance to the lowest polymorph of the same formula = 98 meV/atom; E_form = -0.268 eV per atom; density = 3.02 g/cm3; D(E_F) = 0.6207 states/eV/atom
1.0
4.3463 0.0000 0.0000
0.0000 4.0162 0.0000
-2.1635 0.0000 12.7902
K Sc Sn
2 2 2
direct
0.1766 0.0000 0.3516
0.8234 0.5000 0.6484
0.4529 0.4967 0.9055
0.5471 0.9967 0.0945
0.0507 0.4968 0.1021
0.9493 0.9968 0.8979

---

KScSn PBE optimized geometry; symmetry = No. 63; distance to the lowest polymorph of the same formula = 184 meV/atom; E_form = -0.181 eV per atom; density = 3.23 g/cm3; D(E_F) = 0.3767 states/eV/atom
1.0
2.0896 -6.8389 0.0000
2.0896 6.8389 0.0000
0.0000 0.0000 7.2913
K Sc Sn
2 2 2
direct
0.2111 0.7889 0.7500
0.7889 0.2111 0.2500
0.5000 0.5000 0.0000
0.5000 0.5000 0.5000
0.0715 0.9285 0.2500
0.9285 0.0715 0.7500

---

KScSn PBE optimized geometry; symmetry = No. 187; distance to the lowest polymorph of the same formula = 410 meV/atom; E_form = 0.045 eV per atom; density = 3.55 g/cm3; D(E_F) = 0.0187 states/eV/atom
1.0
5.2792 0.0000 0.0000
-2.6396 4.5719 0.0000
0.0000 0.0000 3.9241
K Sc Sn
1 1 1
direct
0.0000 0.0000 0.0000
0.3333 0.6667 0.5000
0.6667 0.3333 0.5000

---

KScSn PBE optimized geometry; symmetry = No. 6; distance to the lowest polymorph of the same formula = 177 meV/atom; E_form = -0.189 eV per atom; density = 3.30 g/cm3; D(E_F) = 0.7396 states/eV/atom
1.0
3.4234 0.0000 0.0000
0.0000 4.2812 0.0000
-0.2348 0.0000 13.9109
K Sc Sn
2 2 2
direct
0.0000 0.0000 0.0000
0.4493 0.5000 0.2913
0.9649 0.0000 0.5035
0.9808 0.0000 0.7276
0.4719 0.5000 0.6022
0.4879 0.5000 0.8298

---

> Look up the distance to the lowest polymorph of the same formula of the third one.

410 meV/atom

---

Please write out number 4 again, unchanged.
KScSn PBE optimized geometry; symmetry = No. 6; distance to the lowest polymorph of the same formula = 177 meV/atom; E_form = -0.189 eV per atom; density = 3.30 g/cm3; D(E_F) = 0.7396 states/eV/atom
1.0
3.4234 0.0000 0.0000
0.0000 4.2812 0.0000
-0.2348 0.0000 13.9109
K Sc Sn
2 2 2
direct
0.0000 0.0000 0.0000
0.4493 0.5000 0.2913
0.9649 0.0000 0.5035
0.9808 0.0000 0.7276
0.4719 0.5000 0.6022
0.4879 0.5000 0.8298

---

> Among the records above, which one has the highest distance to the lowest polymorph of the same formula?

number 3

---

> What is the density in the second record?

3.23 g/cm3